(1)
The following is a DFT calculation (PBE with a Hubbard U) of a relaxed structure of Mg6MnVO8.

Results
- Space-group type: P4/mmm, No. 123
- Total energy: -6.429 eV/atom

Cell and atoms, written as CIF:
```
data_Mg6MnVO8
_chemical_formula_sum 'Mg6 Mn1 V1 O8'
_cell_length_a 4.3177
_cell_length_b 4.3177
_cell_length_c 8.6495
_cell_angle_alpha 90.00
_cell_angle_beta 90.00
_cell_angle_gamma 90.00
_space_group_name_H-M_alt 'P 1'
_space_group_IT_number 1
loop_
_space_group_symop_operation_xyz
'x,y,z'
loop_
_atom_site_label
_atom_site_type_symbol
_atom_site_fract_x
_atom_site_fract_y
_atom_site_fract_z
Mg1 Mg 0.0000 0.0000 0.0000
Mg2 Mg 0.0000 0.0000 0.5000
Mg3 Mg 0.0000 0.5000 0.2491
Mg4 Mg 0.0000 0.5000 0.7509
Mg5 Mg 0.5000 0.0000 0.2491
Mg6 Mg 0.5000 0.0000 0.7509
Mn1 Mn 0.5000 0.5000 0.5000
V1 V 0.5000 0.5000 0.0000
O1 O 0.0000 0.0000 0.2500
O2 O 0.0000 0.0000 0.7500
O3 O 0.0000 0.5000 0.0000
O4 O 0.0000 0.5000 0.5000
O5 O 0.5000 0.0000 0.0000
O6 O 0.5000 0.0000 0.5000
O7 O 0.5000 0.5000 0.2485
O8 O 0.5000 0.5000 0.7515
```

***

(2)
The following is a DFT calculation (PBE with a Hubbard U) of a relaxed structure of Mg30MnVO32.

Results
- Space-group type: P4/mmm, No. 123
- Fermi-level density of states: 0.00 states/eV per atom
- Total energy: -6.098 eV/atom

Cell and atoms, written as CIF:
```
data_Mg30MnVO32
_chemical_formula_sum 'Mg30 Mn1 V1 O32'
_cell_length_a 8.5407
_cell_length_b 8.5407
_cell_length_c 8.5422
_cell_angle_alpha 90.00
_cell_angle_beta 90.00
_cell_angle_gamma 90.00
_space_group_name_H-M_alt 'P 1'
_space_group_IT_number 1
loop_
_space_group_symop_operation_xyz
'x,y,z'
loop_
_atom_site_label
_atom_site_type_symbol
_atom_site_fract_x
_atom_site_fract_y
_atom_site_fract_z
Mg1 Mg 0.0000 0.0000 0.0000
Mg2 Mg 0.0000 0.2505 0.2494
Mg3 Mg 0.0000 0.2505 0.7506
Mg4 Mg 0.0000 0.5000 0.0000
Mg5 Mg 0.0000 0.5000 0.5000
Mg6 Mg 0.0000 0.7495 0.2494
Mg7 Mg 0.0000 0.7495 0.7506
Mg8 Mg 0.2491 0.5000 0.2490
Mg9 Mg 0.2491 0.5000 0.7510
Mg10 Mg 0.2505 0.0000 0.2494
Mg11 Mg 0.2505 0.0000 0.7506
Mg12 Mg 0.2500 0.2500 0.0000
Mg13 Mg 0.2497 0.2497 0.5000
Mg14 Mg 0.2500 0.7500 0.0000
Mg15 Mg 0.2497 0.7503 0.5000
Mg16 Mg 0.5000 0.0000 0.0000
Mg17 Mg 0.5000 0.0000 0.5000
Mg18 Mg 0.5000 0.2491 0.2490
Mg19 Mg 0.5000 0.2491 0.7510
Mg20 Mg 0.5000 0.5000 0.0000
Mg21 Mg 0.5000 0.7509 0.2490
Mg22 Mg 0.5000 0.7509 0.7510
Mg23 Mg 0.7495 0.0000 0.2494
Mg24 Mg 0.7495 0.0000 0.7506
Mg25 Mg 0.7500 0.2500 0.0000
Mg26 Mg 0.7503 0.2497 0.5000
Mg27 Mg 0.7500 0.7500 0.0000
Mg28 Mg 0.7503 0.7503 0.5000
Mg29 Mg 0.7509 0.5000 0.2490
Mg30 Mg 0.7509 0.5000 0.7510
Mn1 Mn 0.5000 0.5000 0.5000
V1 V 0.0000 0.0000 0.5000
O1 O 0.0000 0.0000 0.2446
O2 O 0.0000 0.0000 0.7554
O3 O 0.0000 0.2503 0.0000
O4 O 0.0000 0.2541 0.5000
O5 O 0.0000 0.5000 0.2487
O6 O 0.0000 0.5000 0.7513
O7 O 0.0000 0.7459 0.5000
O8 O 0.0000 0.7497 0.0000
O9 O 0.2440 0.5000 0.5000
O10 O 0.2493 0.5000 0.0000
O11 O 0.2503 0.0000 0.0000
O12 O 0.2500 0.2500 0.2504
O13 O 0.2500 0.2500 0.7496
O14 O 0.2500 0.7500 0.2504
O15 O 0.2500 0.7500 0.7496
O16 O 0.2541 0.0000 0.5000
O17 O 0.5000 0.0000 0.2487
O18 O 0.5000 0.0000 0.7513
O19 O 0.5000 0.2440 0.5000
O20 O 0.5000 0.2493 0.0000
O21 O 0.5000 0.5000 0.2434
O22 O 0.5000 0.5000 0.7566
O23 O 0.5000 0.7507 0.0000
O24 O 0.5000 0.7560 0.5000
O25 O 0.7459 0.0000 0.5000
O26 O 0.7497 0.0000 0.0000
O27 O 0.7500 0.2500 0.2504
O28 O 0.7500 0.2500 0.7496
O29 O 0.7500 0.7500 0.2504
O30 O 0.7500 0.7500 0.7496
O31 O 0.7507 0.5000 0.0000
O32 O 0.7560 0.5000 0.5000
```

***

(3)
The following is a DFT calculation (PBE with a Hubbard U) of a relaxed structure of Mg2MnVO4.

Results
- Space-group type: P2/m, No. 10
- Total energy: -6.895 eV/atom

Cell and atoms, written as CIF:
```
data_Mg2MnVO4
_chemical_formula_sum 'Mg2 Mn1 V1 O4'
_cell_length_a 5.3413
_cell_length_b 3.0898
_cell_length_c 5.3568
_cell_angle_alpha 90.00
_cell_angle_beta 109.46
_cell_angle_gamma 90.00
_space_group_name_H-M_alt 'P 1'
_space_group_IT_number 1
loop_
_space_group_symop_operation_xyz
'x,y,z'
loop_
_atom_site_label
_atom_site_type_symbol
_atom_site_fract_x
_atom_site_fract_y
_atom_site_fract_z
Mg1 Mg 0.0000 0.0000 0.0000
Mg2 Mg 0.5000 0.5000 0.0000
Mn1 Mn 0.0000 0.5000 0.5000
V1 V 0.5000 0.0000 0.5000
O1 O 0.2477 0.5000 0.2367
O2 O 0.2562 0.0000 0.7643
O3 O 0.7438 0.0000 0.2357
O4 O 0.7523 0.5000 0.7633
```

***

Repeat the second record exactly.
The following is a DFT calculation (PBE with a Hubbard U) of a relaxed structure of Mg30MnVO32.

Results
- Space-group type: P4/mmm, No. 123
- Fermi-level density of states: 0.00 states/eV per atom
- Total energy: -6.098 eV/atom

Cell and atoms, written as CIF:
```
data_Mg30MnVO32
_chemical_formula_sum 'Mg30 Mn1 V1 O32'
_cell_length_a 8.5407
_cell_length_b 8.5407
_cell_length_c 8.5422
_cell_angle_alpha 90.00
_cell_angle_beta 90.00
_cell_angle_gamma 90.00
_space_group_name_H-M_alt 'P 1'
_space_group_IT_number 1
loop_
_space_group_symop_operation_xyz
'x,y,z'
loop_
_atom_site_label
_atom_site_type_symbol
_atom_site_fract_x
_atom_site_fract_y
_atom_site_fract_z
Mg1 Mg 0.0000 0.0000 0.0000
Mg2 Mg 0.0000 0.2505 0.2494
Mg3 Mg 0.0000 0.2505 0.7506
Mg4 Mg 0.0000 0.5000 0.0000
Mg5 Mg 0.0000 0.5000 0.5000
Mg6 Mg 0.0000 0.7495 0.2494
Mg7 Mg 0.0000 0.7495 0.7506
Mg8 Mg 0.2491 0.5000 0.2490
Mg9 Mg 0.2491 0.5000 0.7510
Mg10 Mg 0.2505 0.0000 0.2494
Mg11 Mg 0.2505 0.0000 0.7506
Mg12 Mg 0.2500 0.2500 0.0000
Mg13 Mg 0.2497 0.2497 0.5000
Mg14 Mg 0.2500 0.7500 0.0000
Mg15 Mg 0.2497 0.7503 0.5000
Mg16 Mg 0.5000 0.0000 0.0000
Mg17 Mg 0.5000 0.0000 0.5000
Mg18 Mg 0.5000 0.2491 0.2490
Mg19 Mg 0.5000 0.2491 0.7510
Mg20 Mg 0.5000 0.5000 0.0000
Mg21 Mg 0.5000 0.7509 0.2490
Mg22 Mg 0.5000 0.7509 0.7510
Mg23 Mg 0.7495 0.0000 0.2494
Mg24 Mg 0.7495 0.0000 0.7506
Mg25 Mg 0.7500 0.2500 0.0000
Mg26 Mg 0.7503 0.2497 0.5000
Mg27 Mg 0.7500 0.7500 0.0000
Mg28 Mg 0.7503 0.7503 0.5000
Mg29 Mg 0.7509 0.5000 0.2490
Mg30 Mg 0.7509 0.5000 0.7510
Mn1 Mn 0.5000 0.5000 0.5000
V1 V 0.0000 0.0000 0.5000
O1 O 0.0000 0.0000 0.2446
O2 O 0.0000 0.0000 0.7554
O3 O 0.0000 0.2503 0.0000
O4 O 0.0000 0.2541 0.5000
O5 O 0.0000 0.5000 0.2487
O6 O 0.0000 0.5000 0.7513
O7 O 0.0000 0.7459 0.5000
O8 O 0.0000 0.7497 0.0000
O9 O 0.2440 0.5000 0.5000
O10 O 0.2493 0.5000 0.0000
O11 O 0.2503 0.0000 0.0000
O12 O 0.2500 0.2500 0.2504
O13 O 0.2500 0.2500 0.7496
O14 O 0.2500 0.7500 0.2504
O15 O 0.2500 0.7500 0.7496
O16 O 0.2541 0.0000 0.5000
O17 O 0.5000 0.0000 0.2487
O18 O 0.5000 0.0000 0.7513
O19 O 0.5000 0.2440 0.5000
O20 O 0.5000 0.2493 0.0000
O21 O 0.5000 0.5000 0.2434
O22 O 0.5000 0.5000 0.7566
O23 O 0.5000 0.7507 0.0000
O24 O 0.5000 0.7560 0.5000
O25 O 0.7459 0.0000 0.5000
O26 O 0.7497 0.0000 0.0000
O27 O 0.7500 0.2500 0.2504
O28 O 0.7500 0.2500 0.7496
O29 O 0.7500 0.7500 0.2504
O30 O 0.7500 0.7500 0.7496
O31 O 0.7507 0.5000 0.0000
O32 O 0.7560 0.5000 0.5000
```

***

> Number 3 is which compound?

Mg2MnVO4

***

> The highest total energy belongs to which entry?

Mg30MnVO32